[1]
{"formula": "AcLa3Pr5", "functional": "PBE", "state": "relaxed", "relative_energy_ev_per_atom": 0.153, "formation_energy_ev_per_atom": 0.2888, "total_energy_ev_per_atom": -4.47, "m_tot_mub_per_cell": 0.0, "cell": [[7.173, 0.106, -0.568], [2.066, 6.870, -0.568], [2.203, 1.663, 14.275]], "species": ["Ac", "Ac", "La", "La", "La", "La", "La", "La", "Pr", "Pr", "Pr", "Pr", "Pr", "Pr", "Pr", "Pr", "Pr", "Pr"], "fractional_positions": [[0.039, 0.039, 0.750], [0.961, 0.961, 0.250], [0.769, 0.769, 0.886], [0.641, 0.641, 0.498], [0.000, 0.000, 0.000], [0.000, 0.000, 0.500], [0.231, 0.231, 0.114], [0.359, 0.359, 0.502], [0.002, 0.434, 0.333], [0.323, 0.677, 0.000], [0.736, 0.736, 0.116], [0.485, 0.485, 0.257], [0.515, 0.515, 0.743], [0.264, 0.264, 0.884], [0.434, 0.002, 0.333], [0.677, 0.323, 0.000], [0.998, 0.566, 0.667], [0.566, 0.998, 0.667]]}

=====

[2]
{"formula": "Ac4La4Pr", "functional": "PBE", "state": "relaxed", "relative_energy_ev_per_atom": 0.000, "formation_energy_ev_per_atom": 0.0199, "total_energy_ev_per_atom": -4.53, "m_tot_mub_per_cell": 0.0, "cell": [[-2.111, 2.376, -4.448], [-7.934, 2.734, 1.867], [1.980, 8.364, 0.168]], "species": ["Ac", "Ac", "Ac", "Ac", "La", "La", "La", "La", "Pr"], "fractional_positions": [[0.673, 0.327, 0.327], [0.327, 0.673, 0.673], [0.000, 0.673, 0.327], [0.000, 0.327, 0.673], [0.665, 0.671, 0.000], [0.335, 0.329, 0.000], [0.665, 0.000, 0.671], [0.335, 0.000, 0.329], [0.000, 0.000, 0.000]]}

=====

[3]
{"formula": "Ac2La12Pr5", "functional": "PBE", "state": "relaxed", "relative_energy_ev_per_atom": 0.004, "formation_energy_ev_per_atom": 0.0832, "total_energy_ev_per_atom": -4.72, "m_tot_mub_per_cell": 0.0, "cell": [[11.975, 0.000, 0.000], [-5.988, 6.782, 0.584], [0.000, 3.661, 9.097]], "species": ["Ac", "Ac", "La", "La", "La", "La", "La", "La", "La", "La", "La", "La", "La", "La", "Pr", "Pr", "Pr", "Pr", "Pr"], "fractional_positions": [[0.734, 0.000, 0.000], [0.266, 0.000, 0.000], [0.129, 0.257, 0.049], [0.055, 0.624, 0.804], [0.569, 0.624, 0.804], [0.173, 0.784, 0.429], [0.611, 0.784, 0.429], [0.428, 0.856, 0.772], [0.572, 0.144, 0.228], [0.827, 0.216, 0.571], [0.389, 0.216, 0.571], [0.945, 0.376, 0.196], [0.431, 0.376, 0.196], [0.871, 0.743, 0.951], [0.189, 0.377, 0.672], [0.308, 0.616, 0.238], [0.000, 0.000, 0.500], [0.692, 0.384, 0.762], [0.811, 0.623, 0.328]]}

=====

[4]
{"formula": "Ac2La3Pr4", "functional": "PBE", "state": "relaxed", "relative_energy_ev_per_atom": 0.048, "formation_energy_ev_per_atom": 0.0695, "total_energy_ev_per_atom": -4.61, "m_tot_mub_per_cell": 0.0, "cell": [[-1.966, 0.620, 3.183], [2.135, -3.116, -0.333], [22.006, 13.910, 10.879]], "species": ["Ac", "Ac", "La", "La", "La", "Pr", "Pr", "Pr", "Pr"], "fractional_positions": [[0.667, 0.333, 0.094], [0.667, 0.333, 0.868], [0.000, 0.000, 0.983], [0.000, 0.000, 0.326], [0.667, 0.333, 0.650], [0.000, 0.000, 0.541], [0.667, 0.333, 0.436], [0.667, 0.333, 0.222], [0.000, 0.000, 0.757]]}

=====

[5]
{"formula": "Ac3La3Pr4", "functional": "PBE", "state": "relaxed", "formation_energy_ev_per_atom": 0.0706, "total_energy_ev_per_atom": -4.55, "m_tot_mub_per_cell": 0.0, "cell": [[3.914, 0.000, 0.000], [0.000, 10.072, -0.110], [0.000, -0.022, 10.073]], "species": ["Ac", "Ac", "Ac", "La", "La", "La", "Pr", "Pr", "Pr", "Pr"], "fractional_positions": [[0.000, 0.500, 0.999], [0.000, 0.001, 0.500], [0.500, 0.173, 0.827], [0.500, 0.825, 0.175], [0.500, 0.329, 0.323], [0.500, 0.677, 0.671], [0.000, 0.628, 0.372], [0.000, 0.382, 0.618], [0.000, 0.867, 0.881], [0.000, 0.119, 0.133]]}

=====

[6]
{"formula": "Ac6LaPr12", "functional": "PBE", "state": "relaxed", "formation_energy_ev_per_atom": 0.3468, "total_energy_ev_per_atom": -4.23, "m_tot_mub_per_cell": 0.0, "cell": [[9.885, -1.802, -2.682], [-2.990, 9.592, -2.682], [-1.595, -1.802, 10.117]], "species": ["Ac", "Ac", "Ac", "Ac", "Ac", "Ac", "La", "Pr", "Pr", "Pr", "Pr", "Pr", "Pr", "Pr", "Pr", "Pr", "Pr", "Pr", "Pr"], "fractional_positions": [[0.642, 0.262, 0.642], [0.642, 0.642, 0.262], [0.262, 0.642, 0.642], [0.358, 0.358, 0.738], [0.358, 0.738, 0.358], [0.738, 0.358, 0.358], [0.000, 0.000, 0.000], [0.891, 0.109, 0.500], [0.240, 0.982, 0.240], [0.240, 0.240, 0.982], [0.018, 0.760, 0.760], [0.760, 0.760, 0.018], [0.760, 0.018, 0.760], [0.500, 0.891, 0.109], [0.109, 0.500, 0.891], [0.109, 0.891, 0.500], [0.500, 0.109, 0.891], [0.891, 0.500, 0.109], [0.982, 0.240, 0.240]]}

=====

[7]
{"formula": "Ac2La5Pr3", "functional": "PBE", "state": "relaxed", "formation_energy_ev_per_atom": 0.1459, "total_energy_ev_per_atom": -4.57, "m_tot_mub_per_cell": 0.0, "cell": [[-1.403, -7.700, 7.457], [6.701, -8.450, -0.507], [2.049, 11.534, 0.980]], "species": ["Ac", "Ac", "Ac", "Ac", "La", "La", "La", "La", "La", "La", "La", "La", "La", "La", "Pr", "Pr", "Pr", "Pr", "Pr", "Pr"], "fractional_positions": [[0.780, 0.028, 0.751], [0.220, 0.972, 0.249], [0.471, 0.723, 0.751], [0.529, 0.277, 0.249], [0.264, 0.514, 0.028], [0.736, 0.486, 0.972], [0.015, 0.765, 0.529], [0.524, 0.274, 0.548], [0.985, 0.235, 0.471], [0.476, 0.726, 0.452], [0.876, 0.626, 0.752], [0.124, 0.374, 0.248], [0.376, 0.125, 0.752], [0.624, 0.875, 0.248], [0.229, 0.979, 0.958], [0.771, 0.021, 0.042], [0.723, 0.471, 0.250], [0.277, 0.529, 0.750], [0.027, 0.779, 0.250], [0.973, 0.221, 0.750]]}

=====

[8]
{"formula": "Ac3La2Pr4", "functional": "PBE", "state": "relaxed", "relative_energy_ev_per_atom": 0.059, "formation_energy_ev_per_atom": 0.0818, "total_energy_ev_per_atom": -4.51, "m_tot_mub_per_cell": 0.0, "cell": [[-2.917, 5.020, 2.038], [-6.130, -2.745, -2.014], [3.761, -4.610, 7.448]], "species": ["Ac", "Ac", "Ac", "La", "La", "Pr", "Pr", "Pr", "Pr"], "fractional_positions": [[0.864, 0.313, 0.729], [0.136, 0.687, 0.271], [0.000, 0.000, 0.000], [0.367, 0.024, 0.733], [0.633, 0.976, 0.267], [0.574, 0.394, 0.149], [0.779, 0.711, 0.558], [0.426, 0.606, 0.851], [0.221, 0.289, 0.442]]}

=====

[9]
{"formula": "Ac3La3Pr5", "functional": "PBE", "state": "relaxed", "formation_energy_ev_per_atom": 0.5973, "total_energy_ev_per_atom": -4.04, "m_tot_mub_per_cell": 0.0, "cell": [[-5.594, -0.712, 2.330], [3.603, -6.217, 6.751], [-0.427, 9.660, 1.925]], "species": ["Ac", "Ac", "Ac", "La", "La", "La", "Pr", "Pr", "Pr", "Pr", "Pr"], "fractional_positions": [[0.000, 0.571, 0.000], [0.000, 0.000, 0.571], [0.000, 0.429, 0.429], [0.500, 0.732, 0.000], [0.500, 0.268, 0.268], [0.500, 0.000, 0.732], [0.500, 0.667, 0.333], [0.500, 0.333, 0.667], [0.500, 0.361, 0.000], [0.500, 0.639, 0.639], [0.500, 0.000, 0.361]]}

=====

[10]
{"formula": "Ac2La3Pr8", "functional": "PBE", "state": "relaxed", "relative_energy_ev_per_atom": 0.000, "formation_energy_ev_per_atom": 0.1596, "total_energy_ev_per_atom": -4.55, "m_tot_mub_per_cell": 0.0, "cell": [[5.301, 0.231, 1.206], [-1.048, 6.480, 3.365], [-2.637, -2.576, 12.225]], "species": ["Ac", "Ac", "La", "La", "La", "Pr", "Pr", "Pr", "Pr", "Pr", "Pr", "Pr", "Pr"], "fractional_positions": [[0.999, 0.736, 0.528], [0.001, 0.264, 0.472], [0.000, 0.000, 0.000], [0.500, 0.264, 0.000], [0.500, 0.736, 0.000], [0.001, 0.421, 0.159], [0.999, 0.579, 0.841], [0.003, 0.881, 0.239], [0.997, 0.119, 0.761], [0.499, 0.911, 0.668], [0.499, 0.420, 0.668], [0.501, 0.580, 0.332], [0.501, 0.089, 0.332]]}